(1)
First-principles (GGA-PBE) data for a relaxed structure of VGaReP2, as listed in Alexandria.

Output
symmetry = P4/mmm
total moment = 0.00 μB/cell
final energy = -6.35 eV per atom

Geometry as POSCAR:
```
VGaReP2
1.0
4.511 0.000 0.000
0.000 4.991 0.000
0.000 0.000 4.511
P V Re Ga
2 1 1 1
Direct
0.500 0.000 0.000
0.000 0.000 0.500
0.000 0.500 0.000
0.000 0.000 0.000
0.500 0.500 0.500
```

---

(2)
First-principles (GGA-PBE) data for a relaxed structure of Ta2Be2VRu5, as listed in Alexandria.

Output
symmetry = P4/mbm
total moment = 0.00 μB/cell
final energy = -9.10 eV per atom

Geometry as POSCAR:
```
Ta2Be2VRu5
1.0
3.085 0.000 0.000
0.000 9.301 0.000
0.000 0.000 9.301
Be Ta Ru V
4 4 10 2
Direct
0.000 0.123 0.623
0.000 0.377 0.123
0.000 0.623 0.877
0.000 0.877 0.377
0.000 0.674 0.174
0.000 0.826 0.674
0.000 0.326 0.826
0.000 0.174 0.326
0.500 0.794 0.928
0.500 0.706 0.428
0.500 0.294 0.572
0.500 0.572 0.706
0.500 0.428 0.294
0.500 0.000 0.500
0.500 0.072 0.794
0.500 0.500 0.000
0.500 0.928 0.206
0.500 0.206 0.072
0.000 0.000 0.000
0.000 0.500 0.500
```